No. 1
CSe2BrCl, optimized geometry, DFT PBE; Fermi-level density of states = 0.58 states/eV/atom; distance to the lowest polymorph of the same formula = 0.000 eV/atom; space-group type = P4/mmm; formation energy without anion corrections = 1.226 eV per atom
1.0
4.520 0.000 0.000
0.000 4.520 0.000
0.000 0.000 4.679
C Se Br Cl
1 2 1 1
direct
0.000 0.000 0.000 C
0.000 0.500 0.000 Se
0.500 0.000 0.000 Se
0.000 0.000 0.500 Br
0.500 0.500 0.500 Cl

=====

No. 2
KCo2Br, optimized geometry, DFT PBE; Fermi-level density of states = 2.16 states/eV/atom; distance to the lowest polymorph of the same formula = 1.035 eV/atom; space-group type = Fm-3m; formation energy without anion corrections = 1.255 eV per atom
1.0
0.000 3.364 3.364
3.364 0.000 3.364
3.364 3.364 0.000
K Co Br
1 2 1
direct
0.000 0.000 0.000 K
0.250 0.250 0.250 Co
0.750 0.750 0.750 Co
0.500 0.500 0.500 Br